Density functional theory data (PBE) for a geometry-optimized Sc4SiBi structure.

Calculated values
Formation energy without anion corrections, meV per atom: -350
Crystal system: monoclinic
SG: C2/c, No. 15

Cell: 5.656 7.131 7.922 Å, 103.08 110.91 90.00°
Positions (direct):
Sc (0.534, 0.062, 0.844)
Sc (0.690, 0.438, 0.156)
Sc (0.466, 0.938, 0.156)
Sc (0.310, 0.562, 0.844)
Sc (0.948, 0.863, 0.657)
Sc (0.291, 0.637, 0.343)
Sc (0.052, 0.137, 0.343)
Sc (0.709, 0.363, 0.657)
Si (0.500, 0.000, 0.500)
Si (0.000, 0.500, 0.500)
Bi (0.873, 0.750, 0.000)
Bi (0.127, 0.250, 0.000)